# Fe2NiF (PBE with a Hubbard U, relaxed)
data_Fe2NiF
_symmetry_space_group_name_H-M 'P 1'
_symmetry_Int_Tables_number 1
_symmetry_space_group_name_Hall 'P 1'
_cell_length_a 4.136
_cell_length_b 4.136
_cell_length_c 4.136
_cell_angle_alpha 60.00
_cell_angle_beta 60.00
_cell_angle_gamma 60.00
loop_
_atom_site_label
_atom_site_type_symbol
_atom_site_fract_x
_atom_site_fract_y
_atom_site_fract_z
_atom_site_occupancy
Fe1 Fe 0.750 0.750 0.750 1
F1 F 0.000 0.000 0.000 1
Ni1 Ni 0.500 0.500 0.500 1
Fe2 Fe 0.250 0.250 0.250 1
# magnetic moment: 7.08 μB/f.u.
# SG: Fm-3m (225)
# DFT total energy: -13.62 eV per cell